1.
{
  "formula": "Ho5Se2S5",
  "functional": "PBE",
  "state": "relaxed",
  "e_form_raw_ev_per_atom": -1.991,
  "lattice_angstrom": [[-3.554, 1.092, 0.826], [2.424, -2.950, 5.549], [3.690, 11.164, 1.111]],
  "species": ["Ho", "Ho", "Ho", "Ho", "Ho", "Se", "Se", "S", "S", "S", "S", "S"],
  "fractional_positions": [[0.115, 0.229, 0.429], [0.710, 0.420, 0.816], [0.290, 0.580, 0.184], [0.885, 0.771, 0.571], [0.000, 0.000, 0.000], [0.041, 0.083, 0.781], [0.959, 0.917, 0.219], [0.500, 0.000, 0.500], [0.657, 0.315, 0.050], [0.738, 0.476, 0.353], [0.262, 0.524, 0.647], [0.343, 0.685, 0.950]]
}

***

2.
{
  "formula": "Ho8SeS6",
  "functional": "PBE",
  "state": "relaxed",
  "e_form_raw_ev_per_atom": -1.548,
  "lattice_angstrom": [[5.018, -8.692, 0.000], [5.018, 8.692, 0.000], [0.000, 0.000, 3.952]],
  "species": ["Ho", "Ho", "Ho", "Ho", "Ho", "Ho", "Ho", "Ho", "Se", "S", "S", "S", "S", "S", "S"],
  "fractional_positions": [[0.665, 0.701, 0.258], [0.036, 0.335, 0.258], [0.299, 0.964, 0.258], [0.335, 0.299, 0.742], [0.964, 0.665, 0.742], [0.701, 0.036, 0.742], [0.667, 0.333, 0.253], [0.333, 0.667, 0.747], [0.000, 0.000, 0.500], [0.518, 0.866, 0.246], [0.348, 0.482, 0.246], [0.134, 0.652, 0.246], [0.482, 0.134, 0.754], [0.652, 0.518, 0.754], [0.866, 0.348, 0.754]]
}

***

3.
{
  "formula": "Ho8Se6S",
  "functional": "PBE",
  "state": "relaxed",
  "e_form_raw_ev_per_atom": -1.283,
  "lattice_angstrom": [[4.083, 0.000, 0.000], [0.000, 8.910, -5.144], [0.000, 0.000, 10.289]],
  "species": ["Ho", "Ho", "Ho", "Ho", "Ho", "Ho", "Ho", "Ho", "Se", "Se", "Se", "Se", "Se", "Se", "S"],
  "fractional_positions": [[0.737, 0.968, 0.279], [0.737, 0.721, 0.689], [0.737, 0.311, 0.032], [0.263, 0.032, 0.721], [0.263, 0.279, 0.311], [0.263, 0.689, 0.968], [0.744, 0.333, 0.667], [0.256, 0.667, 0.333], [0.756, 0.649, 0.129], [0.756, 0.871, 0.520], [0.756, 0.480, 0.351], [0.244, 0.351, 0.871], [0.244, 0.129, 0.480], [0.244, 0.520, 0.649], [0.500, 0.000, 0.000]]
}

***

4.
{
  "formula": "Ho4Se3S2",
  "functional": "PBE",
  "state": "relaxed",
  "relative_energy_mev_per_atom": 71,
  "e_form_raw_ev_per_atom": -1.788,
  "lattice_angstrom": [[3.766, 0.000, 0.000], [-1.883, 4.953, -0.548], [0.000, -0.360, 11.906]],
  "species": ["Ho", "Ho", "Ho", "Ho", "Se", "Se", "Se", "S", "S"],
  "fractional_positions": [[0.583, 0.166, 0.169], [0.115, 0.230, 0.620], [0.885, 0.770, 0.380], [0.417, 0.834, 0.831], [0.390, 0.779, 0.585], [0.000, 0.000, 0.000], [0.610, 0.221, 0.415], [0.302, 0.604, 0.220], [0.698, 0.396, 0.780]]
}

***

Here are the calculated uncorrected energy numbers, same order: -6.20, -5.87, -5.39, -5.90 (eV per atom).